The following is a DFT calculation (PBE) of crystalline PmErTeSe at its relaxed geometry.

Values from the calculation:
V (Å³ per cell): 109.06
DFT total energy (eV/atom): -5.550
Uncorrected formation energy (eV/atom): -1.56
SG: R3m

Cell lengths 4.112, 4.114, 7.815 Å; angles 90.00, 105.24, 120.01 degrees
Element x y z (fractional)
Er (0.489, 0.143, 0.647)
Se (0.298, 0.547, 0.860)
Pm (0.116, 0.956, 0.087)
Te (0.975, 0.385, 0.375)


The following is a DFT calculation (PBE) of crystalline PmErTeSe2 at its relaxed geometry.

Values from the calculation:
V (Å³ per cell): 153.60
DFT total energy (eV/atom): -5.226
Uncorrected formation energy (eV/atom): -1.34
SG: I4mm

Cell lengths 4.657, 4.657, 7.811 Å; angles 107.34, 107.34, 90.00 degrees
Element x y z (fractional)
Te (0.502, 0.502, 0.004)
Pm (0.135, 0.135, 0.270)
Er (0.856, 0.856, 0.713)
Se (0.753, 0.253, 0.506)
Se (0.253, 0.753, 0.506)


The following is a DFT calculation (PBE) of crystalline PmErTe2Se at its relaxed geometry.

Values from the calculation:
V (Å³ per cell): 293.67
DFT total energy (eV/atom): -5.208
Uncorrected formation energy (eV/atom): -1.39
SG: P4/nmm

Cell lengths 4.341, 4.341, 15.584 Å; angles 90.00, 90.00, 90.00 degrees
Element x y z (fractional)
Er (0.500, 0.000, 0.090)
Pm (0.500, 0.000, 0.631)
Er (0.000, 0.500, 0.910)
Te (0.000, 0.500, 0.712)
Pm (0.000, 0.500, 0.369)
Se (0.500, 0.500, 0.500)
Te (0.500, 0.000, 0.892)
Se (0.000, 0.000, 0.500)
Te (0.500, 0.000, 0.288)
Te (0.000, 0.500, 0.108)


- Which value of uncorrected formation energy does entry 1 give?
  -1.56 eV/atom


- Which of these has the lowest uncorrected formation energy?
  PmErTeSe


- Look up the V of the third one.
  293.67 Å³ per cell